# 1
Material: Pr8As5P
Method: DFT, PBE
State: optimized geometry

As for the crystal system: tetragonal. Its formation energy is -1263.5 meV per atom.

The structure belongs to space group I-4 (No. 82); the cell edges are 9.071, 9.071 and 9.112 Å and the angles 90.00°, 90.00° and 90.00°. The distinct sites, in fractional coordinates, are Pr at (0.066, 0.190, 0.307), Pr at (0.066, 0.317, 0.943), As at (0.000, 0.000, 0.000), As at (0.123, 0.249, 0.626) and P at (0.000, 0.500, 0.250).

# 2
Material: PbC
Method: DFT, PBE
State: optimized geometry

As for the crystal system: hexagonal. Its formation energy is 1926.6 meV per atom.

The structure belongs to space group P6_3/mmc (No. 194); the cell edges are 3.6690, 3.6690 and 5.9576 Å and the angles 90.00°, 90.00° and 120.00°. The distinct sites, in fractional coordinates, are Pb at (0.3333, 0.6667, 0.2500) and C at (0.0000, 0.0000, 0.0000).

# 3
Material: Zn2CdSb
Method: DFT, PBE
State: optimized geometry

Its electronic total energy is -1.78 eV/atom. As for the crystal system: trigonal.

The structure belongs to space group R3m (No. 160, hexagonal axes); the cell edges are 3.3503, 3.3503 and 26.3437 Å and the angles 90.00°, 90.00° and 120.00°. The distinct sites, in fractional coordinates, are Zn at (0.0000, 0.0000, 0.0000), Zn at (0.0000, 0.0000, 0.2652), Cd at (0.0000, 0.0000, 0.5187) and Sb at (0.0000, 0.0000, 0.7516).

# 4
Material: NaSi3N
Method: DFT, PBE
State: optimized geometry

Its electronic total energy is -2.58 eV/atom. As for the crystal system: cubic.

The structure belongs to space group Pm-3m (No. 221); the cell edges are 4.844, 4.844 and 4.844 Å and the angles 90.00°, 90.00° and 90.00°. The distinct sites, in fractional coordinates, are Na at (0.000, 0.000, 0.000), Si at (0.000, 0.000, 0.500) and N at (0.500, 0.500, 0.500).

# 5
Material: FeNiOs2
Method: DFT, PBE
State: optimized geometry

As for the crystal system: orthorhombic. Its formation energy is 175.2 meV per atom.

The structure belongs to space group Pmmm (No. 47); the cell edges are 2.635, 3.675 and 5.261 Å and the angles 90.00°, 90.00° and 90.00°. The distinct sites, in fractional coordinates, are Fe at (0.000, 0.000, 0.000), Ni at (0.000, 0.000, 0.500) and Os at (0.500, 0.500, 0.249).

# 6
Material: ThGa2Co2Rh
Method: DFT, PBE
State: optimized geometry

As for the crystal system: tetragonal. Its formation energy is -28.3 meV per atom.

The structure belongs to space group P4/mmm (No. 123); the cell edges are 4.673, 4.673 and 5.231 Å and the angles 90.00°, 90.00° and 90.00°. The distinct sites, in fractional coordinates, are Th at (0.000, 0.000, 0.000), Ga at (0.000, 0.500, 0.500), Co at (0.500, 0.500, 0.223) and Rh at (0.000, 0.000, 0.500).